(1)
! KMnCl, optimized geometry, DFT PBE-GGA; values from VASP
&SYSTEM
  ibrav = 0, nat = 12, ntyp = 3
/
ATOMIC_SPECIES
K 39.10 K.upf
Mn 54.94 Mn.upf
Cl 35.45 Cl.upf
CELL_PARAMETERS angstrom
4.0763 0.0000 0.0000
0.0000 5.9568 0.0000
0.0000 0.0000 13.8708
ATOMIC_POSITIONS crystal
K 0.0000 0.0000 0.0000
K 0.0000 0.5000 0.5000
K 0.5000 0.0000 0.5000
K 0.5000 0.5000 0.0000
Mn 0.0000 0.0000 0.7077
Mn 0.0000 0.5000 0.2077
Mn 0.5000 0.0000 0.2077
Mn 0.5000 0.5000 0.7077
Cl 0.0000 0.0000 0.3388
Cl 0.0000 0.5000 0.8388
Cl 0.5000 0.0000 0.8388
Cl 0.5000 0.5000 0.3388
! - crystal system = orthorhombic
! - energy above the lowest structure with this stoichiometry (eV per formula unit) = 0.038
! - space group = No. 42
! - formation energy (no corrections) (eV/atom) = -0.155

(2)
! NiTe2Ru, optimized geometry, DFT PBE-GGA; values from VASP
&SYSTEM
  ibrav = 0, nat = 8, ntyp = 3
/
ATOMIC_SPECIES
Ni 58.69 Ni.upf
Te 127.60 Te.upf
Ru 101.07 Ru.upf
CELL_PARAMETERS angstrom
3.2907 0.0000 0.0000
0.0000 3.7473 0.0000
0.0000 0.0000 14.1724
ATOMIC_POSITIONS crystal
Ni 0.0000 0.0000 0.0000
Ni 0.5000 0.5000 0.5000
Te 0.0000 0.0000 0.5355
Te 0.0000 0.5000 0.2871
Te 0.5000 0.0000 0.7871
Te 0.5000 0.5000 0.0355
Ru 0.0000 0.5000 0.8753
Ru 0.5000 0.0000 0.3753
! - crystal system = orthorhombic
! - energy above the lowest structure with this stoichiometry (eV per formula unit) = 0.329
! - space group = No. 44
! - formation energy (no corrections) (eV/atom) = 0.081

(3)
! CaAcAu, optimized geometry, DFT PBE-GGA; values from VASP
&SYSTEM
  ibrav = 0, nat = 12, ntyp = 3
/
ATOMIC_SPECIES
Ca 40.08 Ca.upf
Ac 227.00 Ac.upf
Au 196.97 Au.upf
CELL_PARAMETERS angstrom
7.4802 0.0000 0.0000
0.0000 7.4802 0.0000
0.0000 0.0000 7.4802
ATOMIC_POSITIONS crystal
Ca 0.0000 0.0000 0.0000
Ca 0.0000 0.5000 0.5000
Ca 0.5000 0.0000 0.5000
Ca 0.5000 0.5000 0.0000
Ac 0.0000 0.0000 0.5000
Ac 0.0000 0.5000 0.0000
Ac 0.5000 0.0000 0.0000
Ac 0.5000 0.5000 0.5000
Au 0.2500 0.2500 0.7500
Au 0.2500 0.7500 0.2500
Au 0.7500 0.2500 0.2500
Au 0.7500 0.7500 0.7500
! - crystal system = cubic
! - energy above the lowest structure with this stoichiometry (eV per formula unit) = 0.189
! - space group = No. 216
! - formation energy (eV/atom) = -0.49

(4)
! K3U3CdSe8, optimized geometry, DFT PBE-GGA; values from VASP
&SYSTEM
  ibrav = 0, nat = 15, ntyp = 4
/
ATOMIC_SPECIES
K 39.10 K.upf
U 238.03 U.upf
Cd 112.41 Cd.upf
Se 78.96 Se.upf
CELL_PARAMETERS angstrom
4.1656 2.4050 7.8166
-4.1656 2.4050 7.8166
0.0000 -4.8101 7.8166
ATOMIC_POSITIONS crystal
K 0.0000 0.5000 0.5000
K 0.5000 0.0000 0.5000
K 0.5000 0.5000 0.0000
U 0.0000 0.0000 0.5000
U 0.0000 0.5000 0.0000
U 0.5000 0.0000 0.0000
Cd 0.5000 0.5000 0.5000
Se 0.2269 0.7381 0.7381
Se 0.2356 0.2356 0.2356
Se 0.2619 0.2619 0.7731
Se 0.2619 0.7731 0.2619
Se 0.7381 0.2269 0.7381
Se 0.7381 0.7381 0.2269
Se 0.7644 0.7644 0.7644
Se 0.7731 0.2619 0.2619
! - crystal system = trigonal
! - space group = No. 166
! - formation energy (no corrections) (eV/atom) = -1.146

(5)
! PrPaHg2, optimized geometry, DFT PBE-GGA; values from VASP
&SYSTEM
  ibrav = 0, nat = 16, ntyp = 3
/
ATOMIC_SPECIES
Pr 140.91 Pr.upf
Pa 231.04 Pa.upf
Hg 200.59 Hg.upf
CELL_PARAMETERS angstrom
7.6072 0.0000 0.0000
0.0000 7.6072 0.0000
0.0000 0.0000 7.6072
ATOMIC_POSITIONS crystal
Pr 0.0000 0.0000 0.0000
Pr 0.0000 0.5000 0.5000
Pr 0.5000 0.0000 0.5000
Pr 0.5000 0.5000 0.0000
Pa 0.0000 0.0000 0.5000
Pa 0.0000 0.5000 0.0000
Pa 0.5000 0.0000 0.0000
Pa 0.5000 0.5000 0.5000
Hg 0.2500 0.2500 0.2500
Hg 0.2500 0.2500 0.7500
Hg 0.2500 0.7500 0.2500
Hg 0.2500 0.7500 0.7500
Hg 0.7500 0.2500 0.2500
Hg 0.7500 0.2500 0.7500
Hg 0.7500 0.7500 0.2500
Hg 0.7500 0.7500 0.7500
! - crystal system = cubic
! - energy above the lowest structure with this stoichiometry (eV per formula unit) = 0.427
! - space group = No. 225
! - formation energy (eV/atom) = -0.03

(6)
! CsCdAs2Pt4, optimized geometry, DFT PBE-GGA; values from VASP
&SYSTEM
  ibrav = 0, nat = 8, ntyp = 4
/
ATOMIC_SPECIES
Cs 132.91 Cs.upf
Cd 112.41 Cd.upf
As 74.92 As.upf
Pt 195.08 Pt.upf
CELL_PARAMETERS angstrom
4.0787 0.0000 0.0000
0.0000 4.0787 0.0000
0.0000 0.0000 11.2656
ATOMIC_POSITIONS crystal
Cs 0.0000 0.0000 0.0000
Cd 0.0000 0.0000 0.5000
As 0.5000 0.5000 0.2043
As 0.5000 0.5000 0.7957
Pt 0.0000 0.5000 0.3236
Pt 0.0000 0.5000 0.6764
Pt 0.5000 0.0000 0.3236
Pt 0.5000 0.0000 0.6764
! - crystal system = tetragonal
! - space group = No. 123
! - formation energy (eV/atom) = -0.34

(7)
! MgTe2W, optimized geometry, DFT PBE-GGA; values from VASP
&SYSTEM
  ibrav = 0, nat = 4, ntyp = 3
/
ATOMIC_SPECIES
Mg 24.30 Mg.upf
Te 127.60 Te.upf
W 183.84 W.upf
CELL_PARAMETERS angstrom
3.3591 0.0000 0.0000
0.0000 3.3591 0.0000
0.0000 0.0000 7.9390
ATOMIC_POSITIONS crystal
Mg 0.0000 0.0000 0.0000
Te 0.5000 0.5000 0.2903
Te 0.5000 0.5000 0.7097
W 0.0000 0.0000 0.5000
! - crystal system = tetragonal
! - space group = No. 123
! - formation energy (no corrections) (eV/atom) = 0.246

(8)
! PrBi3Pd3, optimized geometry, DFT PBE-GGA; values from VASP
&SYSTEM
  ibrav = 0, nat = 14, ntyp = 3
/
ATOMIC_SPECIES
Pr 140.91 Pr.upf
Bi 208.98 Bi.upf
Pd 106.42 Pd.upf
CELL_PARAMETERS angstrom
7.4996 0.0000 0.0000
0.0000 7.4996 0.0000
0.0000 0.0000 7.4996
ATOMIC_POSITIONS crystal
Pr 0.0000 0.0000 0.0000
Pr 0.5000 0.5000 0.5000
Bi 0.0000 0.2500 0.5000
Bi 0.0000 0.7500 0.5000
Bi 0.2500 0.5000 0.0000
Bi 0.5000 0.0000 0.2500
Bi 0.5000 0.0000 0.7500
Bi 0.7500 0.5000 0.0000
Pd 0.0000 0.5000 0.2500
Pd 0.0000 0.5000 0.7500
Pd 0.2500 0.0000 0.5000
Pd 0.5000 0.2500 0.0000
Pd 0.5000 0.7500 0.0000
Pd 0.7500 0.0000 0.5000
! - crystal system = cubic
! - space group = No. 223
! - formation energy (eV/atom) = -0.05

(9)
! TePdSI2, optimized geometry, DFT PBE-GGA; values from VASP
&SYSTEM
  ibrav = 0, nat = 5, ntyp = 4
/
ATOMIC_SPECIES
Te 127.60 Te.upf
Pd 106.42 Pd.upf
S 32.06 S.upf
I 126.90 I.upf
CELL_PARAMETERS angstrom
5.4715 0.0000 0.0000
0.0000 5.4715 0.0000
0.0000 0.0000 5.2651
ATOMIC_POSITIONS crystal
Te 0.0000 0.0000 0.0000
Pd 0.0000 0.0000 0.5000
S 0.5000 0.5000 0.0000
I 0.0000 0.5000 0.5000
I 0.5000 0.0000 0.5000
! - crystal system = tetragonal
! - energy above the lowest structure with this stoichiometry (eV per formula unit) = 0.000
! - space group = No. 123
! - formation energy (no corrections) (eV/atom) = 0.578

(10)
! Pa3Tl3VS8, optimized geometry, DFT PBE-GGA; values from VASP
&SYSTEM
  ibrav = 0, nat = 15, ntyp = 4
/
ATOMIC_SPECIES
Pa 231.04 Pa.upf
Tl 204.38 Tl.upf
V 50.94 V.upf
S 32.06 S.upf
CELL_PARAMETERS angstrom
3.8910 2.2464 7.7924
-3.8910 2.2464 7.7924
0.0000 -4.4929 7.7924
ATOMIC_POSITIONS crystal
Pa 0.0000 0.5000 0.5000
Pa 0.5000 0.0000 0.5000
Pa 0.5000 0.5000 0.0000
Tl 0.0000 0.0000 0.5000
Tl 0.0000 0.5000 0.0000
Tl 0.5000 0.0000 0.0000
V 0.0000 0.0000 0.0000
S 0.2189 0.2189 0.7489
S 0.2189 0.7489 0.2189
S 0.2511 0.7811 0.7811
S 0.2661 0.2661 0.2661
S 0.7339 0.7339 0.7339
S 0.7489 0.2189 0.2189
S 0.7811 0.2511 0.7811
S 0.7811 0.7811 0.2511
! - crystal system = trigonal
! - space group = No. 166
! - formation energy (no corrections) (eV/atom) = -1.112

(11)
! LiCe3Sc2Se6, optimized geometry, DFT PBE-GGA; values from VASP
&SYSTEM
  ibrav = 0, nat = 12, ntyp = 4
/
ATOMIC_SPECIES
Li 6.94 Li.upf
Ce 140.12 Ce.upf
Sc 44.96 Sc.upf
Se 78.96 Se.upf
CELL_PARAMETERS angstrom
3.4947 -6.0557 0.0000
3.4947 6.0557 0.0000
-2.3310 0.0000 6.6416
ATOMIC_POSITIONS crystal
Li 0.0000 0.0000 0.0000
Ce 0.1658 0.8342 0.5000
Ce 0.5000 0.5000 0.5000
Ce 0.8342 0.1658 0.5000
Sc 0.3335 0.6665 0.0000
Sc 0.6665 0.3335 0.0000
Se 0.0745 0.4067 0.2236
Se 0.2578 0.2578 0.7781
Se 0.4067 0.0745 0.2236
Se 0.5933 0.9255 0.7764
Se 0.7422 0.7422 0.2219
Se 0.9255 0.5933 0.7764
! - crystal system = monoclinic
! - space group = No. 12
! - formation energy (no corrections) (eV/atom) = -1.680

(12)
! AcPrSm6Er2, optimized geometry, DFT PBE-GGA; values from VASP
&SYSTEM
  ibrav = 0, nat = 20, ntyp = 4
/
ATOMIC_SPECIES
Ac 227.00 Ac.upf
Pr 140.91 Pr.upf
Sm 150.36 Sm.upf
Er 167.26 Er.upf
CELL_PARAMETERS angstrom
4.6957 -7.6753 0.0000
4.6957 7.6753 0.0000
-0.9880 0.0000 9.6979
ATOMIC_POSITIONS crystal
Ac 0.0329 0.9671 0.7500
Ac 0.9671 0.0329 0.2500
Pr 0.4090 0.5910 0.2500
Pr 0.5910 0.4090 0.7500
Sm 0.0148 0.5530 0.6780
Sm 0.1153 0.7518 0.0558
Sm 0.2482 0.8847 0.4442
Sm 0.2928 0.5136 0.8814
Sm 0.4470 0.9852 0.8220
Sm 0.4864 0.7072 0.6186
Sm 0.5136 0.2928 0.3814
Sm 0.5530 0.0148 0.1780
Sm 0.7072 0.4864 0.1186
Sm 0.7518 0.1153 0.5558
Sm 0.8847 0.2482 0.9442
Sm 0.9852 0.4470 0.3220
Er 0.2007 0.3080 0.5487
Er 0.3080 0.2007 0.0487
Er 0.6920 0.7993 0.9513
Er 0.7993 0.6920 0.4513
! - crystal system = monoclinic
! - space group = No. 15
! - formation energy (eV/atom) = 0.12

Values for total energy, eV per cell, ordered as above
-50.3; -42.0; -43.4; -83.1; -60.0; -38.0; -19.8; -64.6; -12.7; -94.4; -73.5; -90.2